# Y5Ge10Os4 (GGA-PBEsol, relaxed)
# Total magnetization in Bohr magnetons per cell: 0.00
# Energy relative to the elements in meV per atom: -608
data_Y5Ge10Os4
_cell_length_a 12.957
_cell_length_b 12.957
_cell_length_c 4.272
_cell_angle_alpha 90.00
_cell_angle_beta 90.00
_cell_angle_gamma 90.00
_symmetry_space_group_name_H-M 'P 4/m b m'
_symmetry_Int_Tables_number 127
_symmetry_space_group_name_Hall '-P 4 2ab'
loop_
_atom_site_label
_atom_site_fract_x
_atom_site_fract_y
_atom_site_fract_z
_atom_site_occupancy
Y1 0.000 0.000 0.000 1
Y2 0.117 0.383 0.500 1
Y3 0.173 0.673 0.500 1
Ge1 0.007 0.842 0.500 1
Ge2 0.068 0.568 0.000 1
Ge3 0.164 0.198 0.000 1
Os1 0.019 0.753 0.000 1